Pr2BeAs PBE optimized geometry; formation energy = 0.123 eV per atom
1.0
-1.637 3.716 0.364
-0.625 1.599 3.698
7.920 5.613 1.159
Pr Be As
2 1 1
Direct
0.106 0.106 0.682
0.894 0.894 0.318
0.000 0.000 0.000
0.500 0.500 0.500